Record 1
Here is a geometry-optimized KMgSe structure from the Alexandria database. Energies are from GGA-PBE.

Cell lengths 20.076, 4.034, 5.244 Å; angles 90.00, 94.08, 90.00 degrees
Space group C2/m (No. 12)
Asymmetric unit:
K  0.185  0.000  0.228 (multiplicity 4)
Mg  0.063  0.000  0.658 (multiplicity 4)
Se  0.146  0.500  0.731 (multiplicity 4)

Results
Formation energy (no corrections): -239 kJ/mol of formula units
V: 106 Å³/f.u.
Crystal system: monoclinic
Total DFT energy (no corrections): -34.608 eV for the cell shown
Energy above the lowest structure with this stoichiometry: 0.126 eV/atom

Record 2
Here is a geometry-optimized Ce2BiRh4 structure from the Alexandria database. Energies are from GGA-PBE.

Cell lengths 4.038, 4.038, 18.109 Å; angles 90.00, 90.00, 90.00 degrees
Space group I4/mmm (No. 139)
Asymmetric unit:
Ce  0.000  0.000  0.128 (multiplicity 4)
Bi  0.000  0.000  0.500 (multiplicity 2)
Rh  0.000  0.000  0.352 (multiplicity 4)
Rh  0.000  0.500  0.250 (multiplicity 4)

Results
V: 148 Å³/f.u.
Density of states at the Fermi level: 11.478 states/eV/cell
Crystal system: tetragonal
Total DFT energy (no corrections): -99.121 eV for the cell shown

Record 3
Here is a geometry-optimized CrCo2Ru structure from the Alexandria database. Energies are from GGA-PBE.

Cell lengths 5.033, 7.251, 2.551 Å; angles 90.00, 90.00, 90.00 degrees
Space group Cmmm (No. 65)
Asymmetric unit:
Cr  0.000  0.000  0.000 (multiplicity 2)
Co  0.250  0.250  0.500 (multiplicity 4)
Ru  0.000  0.500  0.000 (multiplicity 2)

Results
V: 47 Å³/f.u.
Density of states at the Fermi level: 9.700 states/eV/cell
Crystal system: orthorhombic
Total DFT energy (no corrections): -65.371 eV for the cell shown
Energy above the lowest structure with this stoichiometry: 0.055 eV/atom

Record 4
Here is a geometry-optimized Ce2NbC structure from the Alexandria database. Energies are from GGA-PBE.

Cell lengths 3.3160, 3.3160, 25.9807 Å; angles 90.00, 90.00, 120.00 degrees
Space group R-3m (No. 166, hexagonal axes)
Asymmetric unit:
Ce  0.0000  0.0000  0.1086 (multiplicity 6)
Nb  0.0000  0.0000  0.0000 (multiplicity 3)
C  0.0000  0.0000  0.5000 (multiplicity 3)

Results
V: 82 Å³/f.u.
Density of states at the Fermi level: 21.477 states/eV/cell
Crystal system: trigonal
Total DFT energy (no corrections): -89.254 eV for the cell shown

Record 5
Here is a geometry-optimized NaCrAgBr6 structure from the Alexandria database. Energies are from GGA-PBE.

Cell lengths 6.9042, 6.9042, 6.4037 Å; angles 90.00, 90.00, 120.00 degrees
Space group P312 (No. 149)
Asymmetric unit:
Na  0.0000  0.0000  0.0000 (multiplicity 1)
Cr  0.6667  0.3333  0.5000 (multiplicity 1)
Ag  0.3333  0.6667  0.5000 (multiplicity 1)
Br  0.3785  0.0302  0.7286 (multiplicity 6)

Results
Formation energy (no corrections): -620 kJ/mol of formula units
V: 264 Å³/f.u.
Density of states at the Fermi level: 6.714 states/eV/cell
Crystal system: trigonal
Total DFT energy (no corrections): -30.253 eV for the cell shown

Record 6
Here is a geometry-optimized Th6Hg3Ru structure from the Alexandria database. Energies are from GGA-PBE.

Cell lengths 11.1339, 11.1339, 16.3515 Å; angles 90.00, 90.00, 120.00 degrees
Space group R-3m (No. 166, hexagonal axes)
Asymmetric unit:
Th  0.1033  0.5516  0.0704 (multiplicity 18)
Th  0.1062  0.5531  0.7714 (multiplicity 18)
Hg  0.0848  0.5424  0.4110 (multiplicity 18)
Ru  0.0000  0.0000  0.0000 (multiplicity 3)
Ru  0.0000  0.0000  0.5000 (multiplicity 3)

Results
V: 293 Å³/f.u.
Density of states at the Fermi level: 79.252 states/eV/cell
Crystal system: trigonal
Total DFT energy (no corrections): -334.165 eV for the cell shown

Record 7
Here is a geometry-optimized LiInSn structure from the Alexandria database. Energies are from GGA-PBE.

Cell lengths 3.232, 4.636, 4.743 Å; angles 90.00, 90.00, 90.00 degrees
Space group Pmmm (No. 47)
Asymmetric unit:
Li  0.000  0.000  0.000 (multiplicity 1)
In  0.500  0.000  0.500 (multiplicity 1)
Sn  0.500  0.500  0.000 (multiplicity 1)

Results
V: 71 Å³/f.u.
Density of states at the Fermi level: 1.505 states/eV/cell
Crystal system: orthorhombic
Total DFT energy (no corrections): -9.032 eV for the cell shown

Record 8
Here is a geometry-optimized Pr12Y5Ho structure from the Alexandria database. Energies are from GGA-PBE.

Cell lengths 10.988, 5.198, 10.998 Å; angles 90.00, 90.34, 90.00 degrees
Space group P2/m (No. 10)
Asymmetric unit:
Pr  0.001  0.000  0.167 (multiplicity 2)
Pr  0.166  0.500  0.666 (multiplicity 2)
Pr  0.169  0.500  0.001 (multiplicity 2)
Pr  0.332  0.000  0.499 (multiplicity 2)
Pr  0.335  0.000  0.835 (multiplicity 2)
Pr  0.499  0.500  0.332 (multiplicity 2)
Y  0.000  0.000  0.500 (multiplicity 1)
Y  0.166  0.500  0.334 (multiplicity 2)
Y  0.334  0.000  0.166 (multiplicity 2)
Ho  0.500  0.500  0.000 (multiplicity 1)

Results
V: 628 Å³/f.u.
Density of states at the Fermi level: 29.661 states/eV/cell
Crystal system: monoclinic
Total DFT energy (no corrections): -93.904 eV for the cell shown

Record 9
Here is a geometry-optimized Dy8Y5Er structure from the Alexandria database. Energies are from GGA-PBE.

Cell lengths 9.571, 9.571, 10.065 Å; angles 90.00, 90.00, 90.00 degrees
Space group I-4 (No. 82)
Asymmetric unit:
Dy  0.070  0.326  0.406 (multiplicity 8)
Dy  0.091  0.174  0.748 (multiplicity 8)
Y  0.000  0.000  0.500 (multiplicity 2)
Y  0.112  0.210  0.077 (multiplicity 8)
Er  0.000  0.500  0.750 (multiplicity 2)

Results
V: 461 Å³/f.u.
Density of states at the Fermi level: 43.533 states/eV/cell
Crystal system: tetragonal
Total DFT energy (no corrections): -139.993 eV for the cell shown

Record 10
Here is a geometry-optimized Th8Au3C3N structure from the Alexandria database. Energies are from GGA-PBE.

Cell lengths 12.952, 7.508, 8.569 Å; angles 90.00, 120.10, 90.00 degrees
Space group C2/m (No. 12)
Asymmetric unit:
Th  0.019  0.248  0.306 (multiplicity 8)
Th  0.232  0.000  0.696 (multiplicity 4)
Th  0.232  0.500  0.694 (multiplicity 4)
Au  0.000  0.500  0.000 (multiplicity 2)
Au  0.250  0.250  0.000 (multiplicity 4)
C  0.000  0.000  0.500 (multiplicity 2)
C  0.250  0.250  0.500 (multiplicity 4)
N  0.000  0.500  0.500 (multiplicity 2)

Results
Formation energy (no corrections): -705 kJ/mol of formula units
V: 360 Å³/f.u.
Density of states at the Fermi level: 31.448 states/eV/cell
Crystal system: monoclinic
Total DFT energy (no corrections): -224.994 eV for the cell shown

Record 11
Here is a geometry-optimized Ti2MnSe4 structure from the Alexandria database. Energies are from GGA-PBE.

Cell lengths 10.797, 10.797, 10.797 Å; angles 90.00, 90.00, 90.00 degrees
Space group Fd-3m (No. 227, origin choice 2)
Asymmetric unit:
Ti  0.000  0.000  0.000 (multiplicity 16)
Mn  0.125  0.125  0.625 (multiplicity 8)
Se  0.007  0.007  0.243 (multiplicity 32)

Results
Formation energy (no corrections): -603 kJ/mol of formula units
V: 157 Å³/f.u.
Density of states at the Fermi level: 38.051 states/eV/cell
Crystal system: cubic
Total DFT energy (no corrections): -361.188 eV for the cell shown

Record 12
Here is a geometry-optimized ScTaAs2 structure from the Alexandria database. Energies are from GGA-PBE.

Cell lengths 3.7571, 3.7571, 18.7873 Å; angles 90.00, 90.00, 120.00 degrees
Space group R-3m (No. 166, hexagonal axes)
Asymmetric unit:
Sc  0.0000  0.0000  0.0000 (multiplicity 3)
Ta  0.0000  0.0000  0.5000 (multiplicity 3)
As  0.0000  0.0000  0.2476 (multiplicity 6)

Results
V: 77 Å³/f.u.
Density of states at the Fermi level: 4.972 states/eV/cell
Crystal system: trigonal
Total DFT energy (no corrections): -91.544 eV for the cell shown
Energy above the lowest structure with this stoichiometry: 0.119 eV/atom

Record 13
Here is a geometry-optimized ErP2Pd5 structure from the Alexandria database. Energies are from GGA-PBE.

Cell lengths 4.027, 7.045, 9.265 Å; angles 90.00, 90.00, 90.00 degrees
Space group Immm (No. 71)
Asymmetric unit:
Er  0.000  0.000  0.000 (multiplicity 2)
P  0.000  0.500  0.253 (multiplicity 4)
Pd  0.000  0.200  0.348 (multiplicity 8)
Pd  0.000  0.500  0.000 (multiplicity 2)

Results
V: 131 Å³/f.u.
Density of states at the Fermi level: 6.365 states/eV/cell
Crystal system: orthorhombic
Total DFT energy (no corrections): -94.118 eV for the cell shown

Record 14
Here is a geometry-optimized GdPuNi4 structure from the Alexandria database. Energies are from GGA-PBE.

Cell lengths 7.172, 7.172, 7.172 Å; angles 90.00, 90.00, 90.00 degrees
Space group F-43m (No. 216)
Asymmetric unit:
Gd  0.000  0.000  0.000 (multiplicity 4)
Pu  0.250  0.250  0.250 (multiplicity 4)
Ni  0.124  0.124  0.624 (multiplicity 16)

Results
V: 92 Å³/f.u.
Density of states at the Fermi level: 66.322 states/eV/cell
Crystal system: cubic
Total DFT energy (no corrections): -213.667 eV for the cell shown

Record 15
Here is a geometry-optimized Mg2Tc structure from the Alexandria database. Energies are from GGA-PBE.

Cell lengths 4.6434, 4.6434, 5.4935 Å; angles 90.00, 90.00, 120.00 degrees
Space group P6_3/mmc (No. 194)
Asymmetric unit:
Mg  0.0000  0.0000  0.0000 (multiplicity 2)
Mg  0.3333  0.6667  0.2500 (multiplicity 2)
Tc  0.3333  0.6667  0.7500 (multiplicity 2)

Results
V: 51 Å³/f.u.
Density of states at the Fermi level: 5.382 states/eV/cell
Crystal system: hexagonal
Total DFT energy (no corrections): -24.853 eV for the cell shown
Energy above the lowest structure with this stoichiometry: 0.371 eV/atom

Record 16
Here is a geometry-optimized Cs3SbI6 structure from the Alexandria database. Energies are from GGA-PBE.

Cell lengths 13.296, 13.296, 13.296 Å; angles 90.00, 90.00, 90.00 degrees
Space group Fm-3m (No. 225)
Asymmetric unit:
Cs  0.000  0.000  0.000 (multiplicity 4)
Cs  0.250  0.250  0.250 (multiplicity 8)
Sb  0.000  0.000  0.500 (multiplicity 4)
I  0.000  0.000  0.272 (multiplicity 24)

Results
Formation energy (no corrections): -991 kJ/mol of formula units
V: 588 Å³/f.u.
Density of states at the Fermi level: 0.000 states/eV/cell
Crystal system: cubic
Total DFT energy (no corrections): -105.015 eV for the cell shown
Energy above the lowest structure with this stoichiometry: 0.050 eV/atom

Record 17
Here is a geometry-optimized AcPrInSn structure from the Alexandria database. Energies are from GGA-PBE.

Cell lengths 8.018, 8.018, 8.018 Å; angles 90.00, 90.00, 90.00 degrees
Space group F-43m (No. 216)
Asymmetric unit:
Ac  0.000  0.000  0.000 (multiplicity 4)
Pr  0.000  0.000  0.500 (multiplicity 4)
In  0.250  0.250  0.750 (multiplicity 4)
Sn  0.250  0.250  0.250 (multiplicity 4)

Results
V: 129 Å³/f.u.
Density of states at the Fermi level: 9.786 states/eV/cell
Crystal system: cubic
Total DFT energy (no corrections): -70.691 eV for the cell shown
Energy above the lowest structure with this stoichiometry: 0.095 eV/atom

Record 18
Here is a geometry-optimized Ce2Ga8Rh structure from the Alexandria database. Energies are from GGA-PBE.

Cell lengths 4.355, 4.355, 11.293 Å; angles 90.00, 90.00, 90.00 degrees
Space group P4/mmm (No. 123)
Asymmetric unit:
Ce  0.000  0.000  0.194 (multiplicity 2)
Ga  0.000  0.500  0.000 (multiplicity 2)
Ga  0.000  0.500  0.379 (multiplicity 4)
Ga  0.500  0.500  0.195 (multiplicity 2)
Rh  0.000  0.000  0.500 (multiplicity 1)

Results
V: 214 Å³/f.u.
Density of states at the Fermi level: 9.114 states/eV/cell
Crystal system: tetragonal
Total DFT energy (no corrections): -49.661 eV for the cell shown

Record 19
Here is a geometry-optimized UCu3I9 structure from the Alexandria database. Energies are from GGA-PBE.

Cell lengths 19.817, 10.136, 14.559 Å; angles 90.00, 128.03, 90.00 degrees
Space group Cc (No. 9)
Asymmetric unit:
U  0.000  0.219  0.000 (multiplicity 4)
Cu  0.151  0.421  0.846 (multiplicity 4)
Cu  0.272  0.085  0.773 (multiplicity 4)
Cu  0.359  0.376  0.660 (multiplicity 4)
I  0.011  0.327  0.821 (multiplicity 4)
I  0.107  0.442  0.154 (multiplicity 4)
I  0.146  0.047  0.077 (multiplicity 4)
I  0.201  0.384  0.484 (multiplicity 4)
I  0.229  0.205  0.883 (multiplicity 4)
I  0.348  0.129  0.422 (multiplicity 4)
I  0.376  0.139  0.734 (multiplicity 4)
I  0.379  0.480  0.331 (multiplicity 4)
I  0.497  0.416  0.679 (multiplicity 4)

Results
Formation energy (no corrections): -461 kJ/mol of formula units
V: 576 Å³/f.u.
Density of states at the Fermi level: 67.841 states/eV/cell
Crystal system: monoclinic
Total DFT energy (no corrections): -169.227 eV for the cell shown

Record 20
Here is a geometry-optimized TbNd7Er12 structure from the Alexandria database. Energies are from GGA-PBE.

Cell lengths 11.258, 11.258, 11.258 Å; angles 90.00, 90.00, 90.00 degrees
Space group Im-3m (No. 229)
Asymmetric unit:
Tb  0.000  0.000  0.000 (multiplicity 2)
Nd  0.000  0.000  0.500 (multiplicity 6)
Nd  0.250  0.250  0.250 (multiplicity 8)
Er  0.000  0.247  0.247 (multiplicity 24)

Results
V: 713 Å³/f.u.
Density of states at the Fermi level: 57.793 states/eV/cell
Crystal system: cubic
Total DFT energy (no corrections): -159.394 eV for the cell shown
Energy above the lowest structure with this stoichiometry: 0.422 eV/atom